Here is ZrZnGaCo after structural relaxation from OQMD via LeMat-Bulk. Energies are from PBE-GGA.

Unit cell a=6.243 b=6.243 c=6.243 alpha=90.00 beta=90.00 gamma=90.00
Space group F-43m (No. 216)
One atom of each set of equivalent atoms:
Zr (0.000, 0.000, 0.000) x4
Zn (0.250, 0.250, 0.750) x4
Ga (0.250, 0.250, 0.250) x4
Co (0.000, 0.000, 0.500) x4

Computed properties:
- Relative energy among the computed polymorphs: 96 meV per atom
- Energy: -5.19 eV/atom
- V: 243.3 Å³/cell
- M_tot: 0.9 μB per cell